NiSbP: optimized geometry, PBE.

a = 4.3889 Å, b = 4.3889 Å, c = 4.3889 Å
α = 60.00°, β = 60.00°, γ = 60.00°
With the nearest neighbours (Å) after each atom.
Element x y z (fractional)
Ni: 0.0000 0.0000 0.0000  4 Sb 2.69
Sb: 0.2500 0.2500 0.2500  4 Ni 2.69, 4 P 2.69
P: 0.5000 0.5000 0.5000  4 Sb 2.69

Values from the calculation:
V	19.9	Å³/atom
energy relative to the elements, uncorrected	525	meV per atom
energy above the lowest structure with this stoichiometry	758	meV per atom
size of the total moment	0.00	μB per formula unit